[1]
VASP calculation (PBE-GGA) on BaLa2P2N6 after structural relaxation.

Results
Crystal system ... triclinic
Formation energy without anion corrections ... -943 meV per atom
ρ ... 4.62 Mg/m³

```
data_BaLa2P2N6
_cell_length_a 5.9843
_cell_length_b 6.0230
_cell_length_c 6.8750
_cell_angle_alpha 102.24
_cell_angle_beta 112.51
_cell_angle_gamma 108.06
_space_group_name_H-M_alt 'P -1'
_space_group_IT_number 2
loop_
_space_group_symop_operation_xyz
'x,y,z'
'-x,-y,-z'
loop_
_atom_site_label
_atom_site_type_symbol
_atom_site_fract_x
_atom_site_fract_y
_atom_site_fract_z
Ba1 Ba 0.0000 0.0000 0.0000
La1 La 0.3917 0.2828 0.6702
P1 P 0.0160 0.5552 0.2713
N1 N 0.1158 0.8529 0.3725
N2 N 0.2233 0.4411 0.3605
N3 N 0.2883 0.6122 0.9205
```


[2]
VASP calculation (PBE-GGA) on MgAl2Si6O16 after structural relaxation.

Results
Crystal system ... triclinic
Energy relative to the lowest polymorph listed for this composition ... 0.026 eV per atom
Formation energy without anion corrections ... -2784 meV per atom
ρ ... 2.16 Mg/m³

```
data_MgAl2Si6O16
_cell_length_a 5.0916
_cell_length_b 8.7052
_cell_length_c 8.7628
_cell_angle_alpha 84.80
_cell_angle_beta 88.45
_cell_angle_gamma 89.19
_space_group_name_H-M_alt 'P 1'
_space_group_IT_number 1
loop_
_space_group_symop_operation_xyz
'x,y,z'
loop_
_atom_site_label
_atom_site_type_symbol
_atom_site_fract_x
_atom_site_fract_y
_atom_site_fract_z
Mg1 Mg 0.0000 0.0000 0.0000
Al1 Al 0.1841 0.6167 0.1552
Al2 Al 0.4740 0.1238 0.0172
Si1 Si 0.0109 0.6153 0.5135
Si2 Si 0.3344 0.1055 0.6644
Si3 Si 0.5043 0.7502 0.6584
Si4 Si 0.6809 0.7512 0.0015
Si5 Si 0.8433 0.2658 0.5153
Si6 Si 0.9760 0.2691 0.1615
O1 O 0.0040 0.7579 0.0278
O2 O 0.0514 0.1352 0.5855
O3 O 0.1063 0.4313 0.1134
O4 O 0.1079 0.6530 0.3407
O5 O 0.1999 0.1258 0.1463
O6 O 0.2406 0.6535 0.6329
O7 O 0.2786 0.1169 0.8504
O8 O 0.4350 0.9340 0.6351
O9 O 0.5218 0.6440 0.1269
O10 O 0.5539 0.2296 0.5959
O11 O 0.6107 0.7073 0.8309
O12 O 0.6216 0.9384 0.0127
O13 O 0.7445 0.7172 0.5412
O14 O 0.7633 0.2204 0.0358
O15 O 0.8311 0.2520 0.3310
O16 O 0.9358 0.4333 0.5560
```


[3]
VASP calculation (PBE-GGA) on Rb4CdGe2 after structural relaxation.

Results
Crystal system ... tetragonal
ρ ... 2.29 Mg/m³
Calculated formation energy ... 0.10 eV/atom

```
data_Rb4CdGe2
_cell_length_a 7.1284
_cell_length_b 7.1284
_cell_length_c 17.1158
_cell_angle_alpha 90.00
_cell_angle_beta 90.00
_cell_angle_gamma 90.00
_space_group_name_H-M_alt 'I 4/m m m'
_space_group_IT_number 139
_space_group_name_Hall '-I 4 2'
loop_
_atom_site_label
_atom_site_type_symbol
_atom_site_fract_x
_atom_site_fract_y
_atom_site_fract_z
Rb1 Rb 0.0000 0.0000 0.2275
Rb2 Rb 0.0000 0.5000 0.0000
Cd1 Cd 0.0000 0.0000 0.0000
Ge1 Ge 0.0000 0.0000 0.4328
```


[4]
VASP calculation (PBE-GGA) on KCa2ScS after structural relaxation.

Results
Crystal system ... tetragonal
Energy relative to the lowest polymorph listed for this composition ... 0.000 eV per atom
Formation energy without anion corrections ... -395 meV per atom
ρ ... 1.89 Mg/m³

```
data_KCa2ScS
_cell_length_a 5.8350
_cell_length_b 5.8350
_cell_length_c 5.0550
_cell_angle_alpha 90.00
_cell_angle_beta 90.00
_cell_angle_gamma 90.00
_space_group_name_H-M_alt 'P 4/m m m'
_space_group_IT_number 123
_space_group_name_Hall '-P 4 2'
loop_
_atom_site_label
_atom_site_type_symbol
_atom_site_fract_x
_atom_site_fract_y
_atom_site_fract_z
K1 K 0.0000 0.0000 0.0000
Ca1 Ca 0.0000 0.5000 0.5000
Sc1 Sc 0.5000 0.5000 0.0000
S1 S 0.5000 0.5000 0.5000
```


Look up the ρ of the third one. 2.29 Mg/m³